No. 1
The following is a DFT calculation (GGA-PBE) of KNi2Ag after structural relaxation.

E above lowest polymorph ... 476 meV per atom
Energy of formation from the pure elements ... 886 meV/atom

Lattice parameters (Å, degrees): 4.633 4.633 4.633 60.00 60.00 60.00
Fractional positions:
K 0.000 0.000 0.000
Ni 0.250 0.250 0.250
Ni 0.750 0.750 0.750
Ag 0.500 0.500 0.500



No. 2
The following is a DFT calculation (GGA-PBE) of PmSnSb2 after structural relaxation.

E above lowest polymorph ... 538 meV per atom
Energy relative to the elements, uncorrected ... 6 meV per atom

Lattice parameters (Å, degrees): 8.994 8.994 8.994 30.92 30.92 30.92
Fractional positions:
Pm 0.000 0.000 0.000
Sn 0.500 0.500 0.500
Sb 0.392 0.392 0.392
Sb 0.608 0.608 0.608



No. 3
The following is a DFT calculation (GGA-PBE) of CeGaCo2Ge2 after structural relaxation.

Energy of formation from the pure elements ... -128 meV/atom

Lattice parameters (Å, degrees): 4.344 4.344 5.606 90.00 90.00 90.00
Fractional positions:
Ce 0.000 0.000 0.000
Ga 0.000 0.000 0.500
Co 0.000 0.500 0.500
Co 0.500 0.000 0.500
Ge 0.500 0.500 0.247
Ge 0.500 0.500 0.753



No. 4
The following is a DFT calculation (GGA-PBE) of LiScSb2 after structural relaxation.

E above lowest polymorph ... 87 meV per atom
Energy relative to the elements, uncorrected ... -543 meV per atom

Lattice parameters (Å, degrees): 4.018 4.525 4.951 90.00 90.00 90.00
Fractional positions:
Li 0.000 0.000 0.000
Sc 0.000 0.500 0.500
Sb 0.500 0.000 0.500
Sb 0.500 0.500 0.000



No. 5
The following is a DFT calculation (GGA-PBE) of SrInOs2 after structural relaxation.

Energy of formation from the pure elements ... 930 meV/atom

Lattice parameters (Å, degrees): 4.812 4.812 4.812 120.08 120.08 89.87
Fractional positions:
Sr 0.000 0.000 0.000
In 0.250 0.750 0.500
Os 0.500 0.500 0.000
Os 0.750 0.250 0.500



No. 6
The following is a DFT calculation (GGA-PBE) of RbCrCd2C after structural relaxation.

Energy of formation from the pure elements ... 2104 meV/atom

Lattice parameters (Å, degrees): 6.634 6.634 5.386 90.00 90.00 90.00
Fractional positions:
Rb 0.000 0.000 0.000
Cr 0.500 0.500 0.500
Cd 0.000 0.500 0.000
Cd 0.500 0.000 0.000
C 0.000 0.000 0.500



No. 7
The following is a DFT calculation (GGA-PBE) of Ca2TbCd3 after structural relaxation.

E above lowest polymorph ... 8 meV per atom
Energy of formation from the pure elements ... -345 meV/atom

Lattice parameters (Å, degrees): 3.814 3.814 11.397 90.00 90.00 90.00
Fractional positions:
Ca 0.000 0.000 0.169
Ca 0.000 0.000 0.831
Tb 0.000 0.000 0.500
Cd 0.500 0.500 0.000
Cd 0.500 0.500 0.342
Cd 0.500 0.500 0.658



No. 8
The following is a DFT calculation (GGA-PBE) of ErLuMnCo after structural relaxation.

Energy of formation from the pure elements ... 9 meV/atom

Lattice parameters (Å, degrees): 4.802 4.802 4.802 60.00 60.00 60.00
Fractional positions:
Er 0.000 0.000 0.000
Lu 0.500 0.500 0.500
Mn 0.250 0.250 0.250
Co 0.750 0.750 0.750



No. 9
The following is a DFT calculation (GGA-PBE) of PuTi2O after structural relaxation.

Energy relative to the elements, uncorrected ... -950 meV per atom

Lattice parameters (Å, degrees): 8.099 8.099 8.099 21.79 21.79 21.79
Fractional positions:
Pu 0.000 0.000 0.000
Ti 0.118 0.118 0.118
Ti 0.882 0.882 0.882
O 0.500 0.500 0.500



No. 10
The following is a DFT calculation (GGA-PBE) of Li6IBr5 after structural relaxation.

Energy relative to the elements, uncorrected ... -1457 meV per atom

Lattice parameters (Å, degrees): 6.881 6.881 6.857 99.60 99.60 120.21
Fractional positions:
Li 0.066 0.416 0.745
Li 0.236 0.236 0.256
Li 0.416 0.066 0.745
Li 0.584 0.934 0.255
Li 0.764 0.764 0.744
Li 0.934 0.584 0.255
I 0.500 0.500 0.000
Br 0.000 0.000 0.500
Br 0.166 0.834 0.000
Br 0.331 0.669 0.500
Br 0.669 0.331 0.500
Br 0.834 0.166 0.000



No. 11
The following is a DFT calculation (GGA-PBE) of LaSc2W after structural relaxation.

Energy of formation from the pure elements ... 389 meV/atom

Lattice parameters (Å, degrees): 3.081 4.593 6.518 90.00 90.00 90.00
Fractional positions:
La 0.000 0.000 0.000
Sc 0.500 0.500 0.288
Sc 0.500 0.500 0.712
W 0.000 0.000 0.500



No. 12
The following is a DFT calculation (GGA-PBE) of Th2MgBi4 after structural relaxation.

Energy of formation from the pure elements ... -397 meV/atom

Lattice parameters (Å, degrees): 4.546 4.546 10.952 90.00 90.00 90.00
Fractional positions:
Th 0.000 0.500 0.228
Th 0.500 0.000 0.772
Mg 0.000 0.000 0.500
Bi 0.000 0.000 0.000
Bi 0.000 0.500 0.676
Bi 0.500 0.000 0.324
Bi 0.500 0.500 0.000